[1]
Material: FeNiC
Method: DFT, GGA-PBE
State: relaxed

Mass density   7828 kg/m3
DFT formation energy   0.7 eV/f.u.
Energy above the most stable polymorph in this dataset   0.37 eV per formula unit

a b c (Å): 2.5769 2.5660 8.1192
angles (deg): 90.00 90.00 90.00
Positions (direct):
1 Fe 0.0000 0.0000 0.0000
2 Fe 0.0000 0.5000 0.5000
3 Ni 0.5000 0.0000 0.2681
4 Ni 0.5000 0.5000 0.7681
5 C 0.5000 0.0000 0.5873
6 C 0.5000 0.5000 0.0873

=====

[2]
Material: FeNiC
Method: DFT, GGA-PBE
State: relaxed

Mass density   7499 kg/m3
DFT formation energy   0.8 eV/f.u.
Energy above the most stable polymorph in this dataset   0.43 eV per formula unit

a b c (Å): 8.5053 2.7131 6.1514
angles (deg): 90.00 127.85 90.00
Positions (direct):
1 Fe 0.0000 0.0000 0.0000
2 Fe 0.2393 0.0000 0.5119
3 Fe 0.5000 0.5000 0.0000
4 Fe 0.7393 0.5000 0.5119
5 Ni 0.1127 0.5000 0.7558
6 Ni 0.3667 0.0000 0.2350
7 Ni 0.6127 0.0000 0.7558
8 Ni 0.8667 0.5000 0.2350
9 C 0.2159 0.5000 0.2757
10 C 0.2989 0.0000 0.8626
11 C 0.7159 0.0000 0.2757
12 C 0.7989 0.5000 0.8626